# 1
A plane-wave DFT calculation with SCAN was carried out for ScFeAg2 at its PBEsol-relaxed geometry.

Results
D(E_F) = 3.2 states/eV/f.u.
energy relative to the elements = 0.13 eV per formula unit

Lattice parameters (Å, degrees): 3.963 3.963 4.941 113.65 113.65 90.00
Last column: magnetic moment on the atom in μB.
Fractional coordinates of all 4 atoms:
Ag 0.000 0.000 0.000  -0.04
Sc 0.750 0.250 0.500  -0.23
Ag 0.250 0.750 0.500  -0.04
Fe 0.500 0.500 0.000  2.53

=====

# 2
A plane-wave DFT calculation with SCAN was carried out for Sc2FeAg at its PBEsol-relaxed geometry.

Results
D(E_F) = 1.7 states/eV/f.u.
energy relative to the elements = -0.87 eV per formula unit

Lattice parameters (Å, degrees): 3.088 3.088 7.055 90.00 90.00 90.00
Last column: magnetic moment on the atom in μB.
Fractional coordinates of all 4 atoms:
Sc 0.000 0.000 0.289  -0.06
Ag 0.500 0.500 0.000  -0.01
Fe 0.500 0.500 0.500  0.22
Sc 0.000 0.000 0.711  -0.06

=====

# 3
A plane-wave DFT calculation with SCAN was carried out for Sc2FeAg2 at its PBEsol-relaxed geometry.

Results
D(E_F) = 2.7 states/eV/f.u.
energy relative to the elements = 0.91 eV per formula unit

Lattice parameters (Å, degrees): 3.565 3.565 7.979 102.91 102.91 90.00
Last column: magnetic moment on the atom in μB.
Fractional coordinates of all 5 atoms:
Sc 0.593 0.593 0.186  -0.32
Ag 0.750 0.250 0.500  0.02
Fe 0.000 0.000 0.000  2.27
Ag 0.250 0.750 0.500  0.02
Sc 0.407 0.407 0.814  -0.32

=====

# 4
A plane-wave DFT calculation with SCAN was carried out for Sc2FeAg at its PBEsol-relaxed geometry.

Results
D(E_F) = 2.5 states/eV/f.u.
energy relative to the elements = 0.10 eV per formula unit

Lattice parameters (Å, degrees): 3.478 3.490 5.958 90.00 90.00 90.00
Last column: magnetic moment on the atom in μB.
Fractional coordinates of all 4 atoms:
Sc 0.000 0.000 0.944  -0.35
Fe 0.500 0.500 0.785  2.59
Sc 0.500 0.500 0.276  -0.23
Ag 0.000 0.000 0.495  -0.03

=====

# 5
A plane-wave DFT calculation with SCAN was carried out for FeAgSe3 at its PBEsol-relaxed geometry.

Results
formation energy (no corrections) = 1.8 eV per formula unit
D(E_F) = 3.5 states/eV/f.u.

Lattice parameters (Å, degrees): 4.676 4.676 4.676 90.00 90.00 90.00
Last column: magnetic moment on the atom in μB.
Fractional coordinates of all 5 atoms:
Fe 0.000 0.000 0.000  2.90
Se 0.000 0.000 0.500  0.20
Se 0.500 0.000 0.000  0.20
Ag 0.500 0.500 0.500  0.04
Se 0.000 0.500 0.000  0.20

=====

# 6
A plane-wave DFT calculation with SCAN was carried out for FeAgSe2 at its PBEsol-relaxed geometry.

Results
formation energy (no corrections) = 1.9 eV per formula unit
D(E_F) = 3.4 states/eV/f.u.

Lattice parameters (Å, degrees): 2.796 2.796 10.799 82.56 82.56 60.00
Last column: magnetic moment on the atom in μB.
Fractional coordinates of all 4 atoms:
Fe 0.000 0.000 0.000  3.00
Se 0.928 0.928 0.217  0.00
Se 0.072 0.072 0.783  0.00
Ag 0.500 0.500 0.500  0.00

=====

# 7
A plane-wave DFT calculation with SCAN was carried out for Fe2AgSe at its PBEsol-relaxed geometry.

Results
formation energy (no corrections) = 1.3 eV per formula unit
D(E_F) = 2.6 states/eV/f.u.

Lattice parameters (Å, degrees): 2.985 4.370 5.122 115.25 106.94 90.00
Last column: magnetic moment on the atom in μB.
Fractional coordinates of all 4 atoms:
Ag 0.247 0.747 0.494  -0.07
Fe 0.754 0.254 0.507  2.71
Se 0.470 0.470 0.939  -0.05
Fe 0.030 0.030 0.059  2.89

=====

# 8
A plane-wave DFT calculation with SCAN was carried out for FeAgSe2 at its PBEsol-relaxed geometry.

Results
formation energy (no corrections) = 1.2 eV per formula unit
D(E_F) = 1.4 states/eV/f.u.

Lattice parameters (Å, degrees): 4.544 4.544 4.544 89.96 120.02 120.02
Last column: magnetic moment on the atom in μB.
Fractional coordinates of all 4 atoms:
Se 0.500 0.250 0.750  -0.02
Ag 0.000 0.500 0.500  0.02
Fe 0.000 0.000 0.000  3.19
Se 0.500 0.750 0.250  -0.02